No. 1
# Bi3PbS

A PBEsol-optimized structure of Bi3PbS (SCAN, Alexandria).

Output
Formation energy without anion corrections (meV/atom): 1171

a b c (Å): 5.790 5.790 5.790
angles (deg): 90.00 90.00 90.00
Space group Pm-3m (No. 221)
Inequivalent atoms, fractional coordinates:
Bi1 0.000 0.000 0.500 x3
Pb1 0.000 0.000 0.000 x1
S1 0.500 0.500 0.500 x1


No. 2
# TlBiPbS3

A PBEsol-optimized structure of TlBiPbS3 (SCAN, Alexandria).

Output
Formation energy without anion corrections (meV/atom): -414

a b c (Å): 4.082 5.853 12.916
angles (deg): 90.00 90.00 90.00
Space group Imm2 (No. 44)
Inequivalent atoms, fractional coordinates:
Tl1 0.000 0.000 0.000 x2
Bi1 0.000 0.000 0.670 x2
Pb1 0.000 0.000 0.340 x2
S1 0.000 0.500 0.023 x2
S2 0.000 0.500 0.320 x2
S3 0.000 0.500 0.687 x2


No. 3
# BiSb2Pb

A PBEsol-optimized structure of BiSb2Pb (SCAN, Alexandria).

Output
Formation energy without anion corrections (meV/atom): 193

a b c (Å): 7.684 7.684 7.684
angles (deg): 90.00 90.00 90.00
Space group Fm-3m (No. 225)
Inequivalent atoms, fractional coordinates:
Bi1 0.000 0.000 0.000 x4
Sb1 0.250 0.250 0.250 x8
Pb1 0.000 0.000 0.500 x4


No. 4
# Sc2BiPb2

A PBEsol-optimized structure of Sc2BiPb2 (SCAN, Alexandria).

Output
DFT formation energy (eV per atom): -0.47

a b c (Å): 7.602 7.602 4.423
angles (deg): 90.00 90.00 90.00
Space group P4/mbm (No. 127)
Inequivalent atoms, fractional coordinates:
Sc1 0.157 0.343 0.000 x4
Bi1 0.000 0.000 0.000 x2
Pb1 0.151 0.651 0.500 x4


No. 5
# Bi4Pb7Se13

A PBEsol-optimized structure of Bi4Pb7Se13 (SCAN, Alexandria).

Output
Formation energy without anion corrections (meV/atom): -460

a b c (Å): 13.986 4.199 23.411
angles (deg): 90.00 96.68 90.00
Space group C2/m (No. 12)
Inequivalent atoms, fractional coordinates:
Bi1 0.060 0.000 0.377 x4
Bi2 0.242 0.000 0.086 x4
Pb1 0.000 0.500 0.000 x2
Pb2 0.019 0.000 0.836 x4
Pb3 0.147 0.500 0.541 x4
Pb4 0.235 0.000 0.716 x4
Se1 0.000 0.000 0.500 x2
Se2 0.079 0.500 0.653 x4
Se3 0.119 0.500 0.118 x4
Se4 0.120 0.000 0.268 x4
Se5 0.134 0.000 0.960 x4
Se6 0.152 0.500 0.806 x4
Se7 0.208 0.500 0.409 x4


No. 6
# Bi3PbSe

A PBEsol-optimized structure of Bi3PbSe (SCAN, Alexandria).

Output
Formation energy without anion corrections (meV/atom): 531

a b c (Å): 5.517 5.517 5.517
angles (deg): 90.00 90.00 90.00
Space group Pm-3m (No. 221)
Inequivalent atoms, fractional coordinates:
Bi1 0.000 0.000 0.500 x3
Pb1 0.500 0.500 0.500 x1
Se1 0.000 0.000 0.000 x1


No. 7
# TcBiPbSe2

A PBEsol-optimized structure of TcBiPbSe2 (SCAN, Alexandria).

Output
Formation energy without anion corrections (meV/atom): 962

a b c (Å): 5.491 5.491 5.178
angles (deg): 90.00 90.00 90.00
Space group P4/mmm (No. 123)
Inequivalent atoms, fractional coordinates:
Tc1 0.000 0.000 0.000 x1
Bi1 0.000 0.000 0.500 x1
Pb1 0.500 0.500 0.000 x1
Se1 0.000 0.500 0.500 x2


No. 8
# BiPb2WSe

A PBEsol-optimized structure of BiPb2WSe (SCAN, Alexandria).

Output
Formation energy without anion corrections (meV/atom): 581

a b c (Å): 5.341 5.341 5.234
angles (deg): 90.00 90.00 90.00
Space group P4/mmm (No. 123)
Inequivalent atoms, fractional coordinates:
Bi1 0.000 0.000 0.000 x1
Pb1 0.000 0.500 0.500 x2
W1 0.000 0.000 0.500 x1
Se1 0.500 0.500 0.000 x1